Entry 1:
A relaxed SrMg14Nb crystal. Source: Alexandria, functional PBE.

Properties
- E (eV per atom) = -1.997
- DOS at the Fermi energy (states/eV/f.u.) = 9.3
- polymorph energy (0 for the lowest one) (eV/atom) = 0.014
- spin magnetization (μB/f.u.) = 1.9

```
data_SrMg14Nb
_chemical_formula_sum 'Sr1 Mg14 Nb1'
_space_group_name_H-M_alt 'P 1'
_space_group_IT_number 1
_cell_length_a 6.541
_cell_length_b 6.541
_cell_length_c 10.464
_cell_angle_alpha 90.00
_cell_angle_beta 90.00
_cell_angle_gamma 121.08
loop_
_space_group_symop_operation_xyz
'x,y,z'
loop_
_atom_site_label
_atom_site_type_symbol
_atom_site_fract_x
_atom_site_fract_y
_atom_site_fract_z
Sr1 Sr 0.821 0.179 0.500
Mg1 Mg 0.836 0.164 0.000
Mg2 Mg 0.331 0.669 0.000
Mg3 Mg 0.325 0.175 0.500
Mg4 Mg 0.326 0.162 0.000
Mg5 Mg 0.825 0.675 0.500
Mg6 Mg 0.838 0.674 0.000
Mg7 Mg 0.179 0.340 0.248
Mg8 Mg 0.179 0.340 0.752
Mg9 Mg 0.660 0.821 0.248
Mg10 Mg 0.660 0.821 0.752
Mg11 Mg 0.663 0.337 0.235
Mg12 Mg 0.663 0.337 0.765
Mg13 Mg 0.177 0.823 0.267
Mg14 Mg 0.177 0.823 0.733
Nb1 Nb 0.341 0.659 0.500
```

***

Entry 2:
A relaxed Ba3CaTl crystal. Source: Alexandria, functional PBE.

Properties
- E (eV per atom) = -2.195
- DOS at the Fermi energy (states/eV/f.u.) = 6.2
- polymorph energy (0 for the lowest one) (eV/atom) = 0.000
- spin magnetization (μB/f.u.) = 0.0

```
data_Ba3CaTl
_chemical_formula_sum 'Ba6 Ca2 Tl2'
_space_group_name_H-M_alt 'P 1'
_space_group_IT_number 1
_cell_length_a 4.258
_cell_length_b 8.134
_cell_length_c 14.776
_cell_angle_alpha 94.09
_cell_angle_beta 90.00
_cell_angle_gamma 105.17
loop_
_space_group_symop_operation_xyz
'x,y,z'
loop_
_atom_site_label
_atom_site_type_symbol
_atom_site_fract_x
_atom_site_fract_y
_atom_site_fract_z
Ba1 Ba 0.277 0.555 0.756
Ba2 Ba 0.723 0.445 0.244
Ba3 Ba 0.382 0.764 0.031
Ba4 Ba 0.618 0.236 0.969
Ba5 Ba 0.129 0.258 0.485
Ba6 Ba 0.871 0.742 0.515
Ca1 Ca 0.533 0.065 0.703
Ca2 Ca 0.467 0.935 0.297
Tl1 Tl 0.952 0.903 0.845
Tl2 Tl 0.048 0.097 0.155
```

***

Entry 3:
A relaxed SrTm4Pd5 crystal. Source: Alexandria, functional PBE.

Properties
- E (eV per atom) = -5.428
- DOS at the Fermi energy (states/eV/f.u.) = 6.5
- spin magnetization (μB/f.u.) = 0.0

```
data_SrTm4Pd5
_chemical_formula_sum 'Sr1 Tm4 Pd5'
_space_group_name_H-M_alt 'P 1'
_space_group_IT_number 1
_cell_length_a 3.499
_cell_length_b 3.499
_cell_length_c 17.767
_cell_angle_alpha 90.00
_cell_angle_beta 90.00
_cell_angle_gamma 90.00
loop_
_space_group_symop_operation_xyz
'x,y,z'
loop_
_atom_site_label
_atom_site_type_symbol
_atom_site_fract_x
_atom_site_fract_y
_atom_site_fract_z
Sr1 Sr 0.000 0.000 0.000
Tm1 Tm 0.000 0.000 0.210
Tm2 Tm 0.000 0.000 0.404
Tm3 Tm 0.000 0.000 0.596
Tm4 Tm 0.000 0.000 0.790
Pd1 Pd 0.500 0.500 0.126
Pd2 Pd 0.500 0.500 0.310
Pd3 Pd 0.500 0.500 0.500
Pd4 Pd 0.500 0.500 0.690
Pd5 Pd 0.500 0.500 0.874
```

***

Entry 4:
A relaxed LaSnCl5 crystal. Source: Alexandria, functional PBE.

Properties
- E (eV per atom) = -4.333
- DOS at the Fermi energy (states/eV/f.u.) = 0.0
- E_form (uncorrected) (meV/atom) = -1739
- spin magnetization (μB/f.u.) = 0.0

```
data_LaSnCl5
_chemical_formula_sum 'La2 Sn2 Cl10'
_space_group_name_H-M_alt 'P 1'
_space_group_IT_number 1
_cell_length_a 7.645
_cell_length_b 7.645
_cell_length_c 10.555
_cell_angle_alpha 68.74
_cell_angle_beta 68.74
_cell_angle_gamma 72.10
loop_
_space_group_symop_operation_xyz
'x,y,z'
loop_
_atom_site_label
_atom_site_type_symbol
_atom_site_fract_x
_atom_site_fract_y
_atom_site_fract_z
La1 La 0.000 0.000 0.000
La2 La 0.000 0.000 0.500
Sn1 Sn 0.506 0.494 0.750
Sn2 Sn 0.494 0.506 0.250
Cl1 Cl 0.256 0.239 0.865
Cl2 Cl 0.316 0.706 0.560
Cl3 Cl 0.239 0.256 0.365
Cl4 Cl 0.891 0.109 0.750
Cl5 Cl 0.294 0.684 0.940
Cl6 Cl 0.706 0.316 0.060
Cl7 Cl 0.109 0.891 0.250
Cl8 Cl 0.761 0.744 0.635
Cl9 Cl 0.684 0.294 0.440
Cl10 Cl 0.744 0.761 0.135
```

***

Repeat the second record exactly.
A relaxed Ba3CaTl crystal. Source: Alexandria, functional PBE.

Properties
- E (eV per atom) = -2.195
- DOS at the Fermi energy (states/eV/f.u.) = 6.2
- polymorph energy (0 for the lowest one) (eV/atom) = 0.000
- spin magnetization (μB/f.u.) = 0.0

```
data_Ba3CaTl
_chemical_formula_sum 'Ba6 Ca2 Tl2'
_space_group_name_H-M_alt 'P 1'
_space_group_IT_number 1
_cell_length_a 4.258
_cell_length_b 8.134
_cell_length_c 14.776
_cell_angle_alpha 94.09
_cell_angle_beta 90.00
_cell_angle_gamma 105.17
loop_
_space_group_symop_operation_xyz
'x,y,z'
loop_
_atom_site_label
_atom_site_type_symbol
_atom_site_fract_x
_atom_site_fract_y
_atom_site_fract_z
Ba1 Ba 0.277 0.555 0.756
Ba2 Ba 0.723 0.445 0.244
Ba3 Ba 0.382 0.764 0.031
Ba4 Ba 0.618 0.236 0.969
Ba5 Ba 0.129 0.258 0.485
Ba6 Ba 0.871 0.742 0.515
Ca1 Ca 0.533 0.065 0.703
Ca2 Ca 0.467 0.935 0.297
Tl1 Tl 0.952 0.903 0.845
Tl2 Tl 0.048 0.097 0.155
```